{
  "formula": "SmCu2Pt5",
  "functional": "PBE",
  "state": "optimized geometry",
  "dft_energy_ev_per_atom": -5.76,
  "delta_e_f_ev_per_atom": -0.374,
  "magmom_total_mub_per_fu": 0.00,
  "spacegroup": "Immm",
  "lattice": [[3.8097, 0.0000, 0.0000], [0.0000, 7.4998, 0.0000], [0.0000, 0.0000, 9.5368]],
  "species": ["Sm", "Sm", "Cu", "Cu", "Cu", "Cu", "Pt", "Pt", "Pt", "Pt", "Pt", "Pt", "Pt", "Pt", "Pt", "Pt"],
  "frac_coords": [[0.0000, 0.0000, 0.0000], [0.5000, 0.5000, 0.5000], [0.0000, 0.5000, 0.2658], [0.0000, 0.5000, 0.7342], [0.5000, 0.0000, 0.2342], [0.5000, 0.0000, 0.7658], [0.0000, 0.1904, 0.3521], [0.0000, 0.1904, 0.6479], [0.0000, 0.5000, 0.0000], [0.0000, 0.8096, 0.3521], [0.0000, 0.8096, 0.6479], [0.5000, 0.0000, 0.5000], [0.5000, 0.3096, 0.1479], [0.5000, 0.3096, 0.8521], [0.5000, 0.6904, 0.1479], [0.5000, 0.6904, 0.8521]]
}

=====

{
  "formula": "Sm2Cu15Pt2",
  "functional": "PBE",
  "state": "optimized geometry",
  "dft_energy_ev_per_atom": -4.56,
  "delta_e_f_ev_per_atom": -0.195,
  "magmom_total_mub_per_fu": 0.00,
  "spacegroup": "R-3m",
  "lattice": [[4.3439, 2.5079, 4.1955], [-4.3439, 2.5079, 4.1955], [0.0000, -5.0159, 4.1955]],
  "species": ["Sm", "Sm", "Cu", "Cu", "Cu", "Cu", "Cu", "Cu", "Cu", "Cu", "Cu", "Cu", "Cu", "Cu", "Cu", "Cu", "Cu", "Pt", "Pt"],
  "frac_coords": [[0.1611, 0.1611, 0.1611], [0.8389, 0.8389, 0.8389], [0.0000, 0.5000, 0.5000], [0.1509, 0.1509, 0.6548], [0.1509, 0.6548, 0.1509], [0.2065, 0.5000, 0.7935], [0.2065, 0.7935, 0.5000], [0.3452, 0.8491, 0.8491], [0.5000, 0.0000, 0.5000], [0.5000, 0.2065, 0.7935], [0.5000, 0.5000, 0.0000], [0.5000, 0.7935, 0.2065], [0.6548, 0.1509, 0.1509], [0.7935, 0.2065, 0.5000], [0.7935, 0.5000, 0.2065], [0.8491, 0.3452, 0.8491], [0.8491, 0.8491, 0.3452], [0.3927, 0.3927, 0.3927], [0.6073, 0.6073, 0.6073]]
}

=====

{
  "formula": "Sm3Cu3Pt",
  "functional": "PBE",
  "state": "optimized geometry",
  "dft_energy_ev_per_atom": -5.08,
  "delta_e_f_ev_per_atom": -0.441,
  "magmom_total_mub_per_fu": 0.00,
  "spacegroup": "Cmcm",
  "lattice": [[1.9959, -5.1694, 0.0000], [1.9959, 5.1694, 0.0000], [0.0000, 0.0000, 14.4314]],
  "species": ["Sm", "Sm", "Sm", "Sm", "Sm", "Sm", "Cu", "Cu", "Cu", "Cu", "Cu", "Cu", "Pt", "Pt"],
  "frac_coords": [[0.0449, 0.9551, 0.7500], [0.3290, 0.6710, 0.5937], [0.3290, 0.6710, 0.9063], [0.6710, 0.3290, 0.0937], [0.6710, 0.3290, 0.4063], [0.9551, 0.0449, 0.2500], [0.2484, 0.7516, 0.2500], [0.3893, 0.6107, 0.1038], [0.3893, 0.6107, 0.3962], [0.6107, 0.3893, 0.6038], [0.6107, 0.3893, 0.8962], [0.7516, 0.2484, 0.7500], [0.0000, 0.0000, 0.0000], [0.0000, 0.0000, 0.5000]]
}

=====

{
  "formula": "Sm2CuPt",
  "functional": "PBE",
  "state": "optimized geometry",
  "dft_energy_ev_per_atom": -5.63,
  "delta_e_f_ev_per_atom": -0.738,
  "magmom_total_mub_per_fu": 0.00,
  "spacegroup": "P2_1/m",
  "lattice": [[5.6676, 0.0000, 0.0000], [0.0000, 4.5527, 0.0000], [-2.6362, 0.0000, 7.2533]],
  "species": ["Sm", "Sm", "Sm", "Sm", "Cu", "Cu", "Pt", "Pt"],
  "frac_coords": [[0.2220, 0.2500, 0.4342], [0.2245, 0.2500, 0.9280], [0.7755, 0.7500, 0.0720], [0.7780, 0.7500, 0.5658], [0.3466, 0.7500, 0.2097], [0.6534, 0.2500, 0.7903], [0.3450, 0.7500, 0.7125], [0.6550, 0.2500, 0.2875]]
}